Arrangement A

The following is a DFT calculation (PBE) of a relaxed KAg2Cl3 crystal.

Output
magnetic moment = 0.000 μB per formula unit

Cell: 24.5644 4.5142 6.6525 Å, 90.00 105.65 90.00°
Last column: nearest neighbours and their distance in Å.
Space group C2/m (No. 12)
Symmetry-distinct sites (fractional):
K 0.1357 0.0000 0.3514 x4  4 Cl 2.99-3.34
Ag 0.0533 0.5000 0.7213 x4  4 Cl 2.57-2.70
Ag 0.2147 0.0000 0.8892 x4  4 Cl 2.56-2.69
Cl 0.0536 0.5000 0.3150 x4  2 Ag 2.57-2.70
Cl 0.1082 0.0000 0.8538 x4  3 Ag 2.56-2.66
Cl 0.2329 0.5000 0.7004 x4  3 Ag 2.68-2.69

Arrangement B

The following is a DFT calculation (PBE) of a relaxed KAg2Cl3 crystal.

Output
magnetic moment = 0.000 μB per formula unit

Cell: 13.6144 8.1419 6.8129 Å, 90.00 90.00 90.00°
Last column: nearest neighbours and their distance in Å.
Space group Cmc2_1 (No. 36)
Symmetry-distinct sites (fractional):
K 0.0000 0.1914 0.0000 x4  4 Cl 3.06-3.21
Ag 0.1712 0.3267 0.4800 x8  4 Cl 2.60-2.64
Cl 0.0000 0.1889 0.5295 x4  2 Ag 2.61
Cl 0.1914 0.3714 0.0979 x8  3 Ag 2.60-2.64

Referenced to the most stable arrangement, the calculated values in meV/atom are arrangement A 25; arrangement B 0.

Arrangement A

The following is a DFT calculation (PBE) of a relaxed KAg2Cl6 crystal.

Output
magnetic moment = 0.000 μB per formula unit

Cell: 15.6263 5.2120 8.5724 Å, 90.00 118.42 90.00°
Last column: nearest neighbours and their distance in Å.
Space group C2/m (No. 12)
Symmetry-distinct sites (fractional):
K 0.0000 0.0000 0.0000 x2  6 Cl 3.25-3.29
Ag 0.2132 0.5000 0.3172 x4  4 Cl 2.40-2.62
Cl 0.0543 0.0000 0.6251 x4  1 Cl 2.00
Cl 0.1239 0.5000 0.9991 x4  1 Ag 2.40
Cl 0.2154 0.0000 0.3533 x4  3 Ag 2.49-2.62

Arrangement B

The following is a DFT calculation (PBE) of a relaxed KAg2Cl6 crystal.

Output
magnetic moment = 2.983 μB per formula unit

Cell: 6.7518 6.7518 6.7814 Å, 90.00 90.00 120.00°
Last column: nearest neighbours and their distance in Å.
Space group P-31m (No. 162)
Symmetry-distinct sites (fractional):
K 0.0000 0.0000 0.0000 x1  6 Cl 3.20
Ag 0.3333 0.6667 0.5000 x2  6 Cl 2.57
Cl 0.0000 0.3783 0.7164 x6  2 Ag 2.57

Referenced to the most stable arrangement, the calculated values in meV/atom are arrangement A 0; arrangement B 41.

Arrangement A

The following is a DFT calculation (PBE) of a relaxed KAg5Cl7 crystal.

Output
magnetic moment = 0.000 μB per formula unit

Cell: 13.3261 4.1237 22.6732 Å, 90.00 90.13 90.00°
Last column: nearest neighbours and their distance in Å.
Space group C2/m (No. 12)
Symmetry-distinct sites (fractional):
K 0.1864 0.0000 0.2498 x4  6 Cl 3.11-3.21
Ag 0.0000 0.0000 0.0000 x2  6 Cl 2.59-2.89
Ag 0.0000 0.0000 0.5000 x2  6 Cl 2.59-2.89
Ag 0.0594 0.5000 0.8547 x4  6 Cl 2.55-2.85
Ag 0.0596 0.5000 0.6452 x4  6 Cl 2.56-2.85
Ag 0.2103 0.5000 0.0710 x4  2 Cl 2.50-2.55
Ag 0.2103 0.5000 0.4289 x4  2 Cl 2.50-2.55
Cl 0.0112 0.5000 0.2501 x4  2 Ag 2.55-2.56
Cl 0.0724 0.0000 0.1063 x4  5 Ag 2.59-2.88
Cl 0.0720 0.0000 0.3940 x4  5 Ag 2.59-2.88
Cl 0.1401 0.5000 0.9664 x4  2 Ag 2.55-2.75
Cl 0.1405 0.5000 0.5336 x4  2 Ag 2.55-2.75
Cl 0.1952 0.0000 0.8335 x4  3 Ag 2.50-2.79
Cl 0.1957 0.0000 0.6663 x4  3 Ag 2.50-2.79

Arrangement B

The following is a DFT calculation (PBE) of a relaxed KAg5Cl7 crystal.

Output
magnetic moment = 0.798 μB per formula unit

Cell: 6.3503 9.4860 11.9355 Å, 90.00 90.00 90.00°
Last column: nearest neighbours and their distance in Å.
Space group Imm2 (No. 44)
Symmetry-distinct sites (fractional):
K 0.0000 0.0000 0.0000 x2  4 Cl 3.09-3.27
Ag 0.0000 0.5000 0.2295 x2  4 Cl 2.56
Ag 0.2298 0.2804 0.7413 x8  4 Cl 2.68-2.75, 1 Ag 2.92
Cl 0.0000 0.0000 0.2738 x2  4 Ag 2.73
Cl 0.0000 0.0000 0.7409 x2  6 Ag 3.03-3.18, 1 K 3.09
Cl 0.0000 0.3115 0.0764 x4  3 Ag 2.56-2.75
Cl 0.0000 0.3244 0.3922 x4  3 Ag 2.56-2.68
Cl 0.0000 0.5000 0.6716 x2  4 Ag 2.68

Referenced to the most stable arrangement, the calculated values in meV/atom are arrangement A 0; arrangement B 114.

Arrangement A

The following is a DFT calculation (PBE) of a relaxed KAg3Cl4 crystal.

Output
magnetic moment = 0.000 μB per formula unit

Cell: 7.5191 7.5191 7.5191 Å, 90.00 90.00 90.00°
Last column: nearest neighbours and their distance in Å.
Space group Pm-3n (No. 223)
Symmetry-distinct sites (fractional):
K 0.0000 0.0000 0.0000 x2  8 Cl 3.26
Ag 0.0000 0.2500 0.5000 x6  4 Cl 2.66
Cl 0.2500 0.2500 0.2500 x8  3 Ag 2.66

Arrangement B

The following is a DFT calculation (PBE) of a relaxed KAg3Cl4 crystal.

Output
magnetic moment = 0.000 μB per formula unit

Cell: 7.1608 7.1608 8.3293 Å, 90.00 90.00 90.00°
Last column: nearest neighbours and their distance in Å.
Space group I-42m (No. 121)
Symmetry-distinct sites (fractional):
K 0.0000 0.0000 0.0000 x2  8 Cl 3.18-3.54
Ag 0.0000 0.0000 0.5000 x2  4 Cl 2.61
Ag 0.0000 0.5000 0.2500 x4  4 Cl 2.64
Cl 0.2177 0.2177 0.3318 x8  3 Ag 2.61-2.64

Referenced to the most stable arrangement, the calculated values in meV/atom are arrangement A 25; arrangement B 0.

Arrangement A

The following is a DFT calculation (PBE) of a relaxed KAg3Cl crystal.

Output
magnetic moment = 0.000 μB per formula unit

Cell: 5.3555 5.3555 5.3555 Å, 90.00 90.00 90.00°
Last column: nearest neighbours and their distance in Å.
Space group Pm-3m (No. 221)
Symmetry-distinct sites (fractional):
K 0.0000 0.0000 0.0000 x1  12 Ag 3.79
Ag 0.0000 0.5000 0.5000 x3  2 Cl 2.68
Cl 0.5000 0.5000 0.5000 x1  6 Ag 2.68

Arrangement B

The following is a DFT calculation (PBE) of a relaxed KAg3Cl crystal.

Output
magnetic moment = 0.000 μB per formula unit

Cell: 5.7808 5.7808 5.7808 Å, 90.00 90.00 90.00°
Last column: nearest neighbours and their distance in Å.
Space group Pm-3m (No. 221)
Symmetry-distinct sites (fractional):
K 0.0000 0.0000 0.0000 x1  6 Ag 2.89
Ag 0.0000 0.0000 0.5000 x3  2 K 2.89
Cl 0.5000 0.5000 0.5000 x1  12 Ag 4.09

Referenced to the most stable arrangement, the calculated values in meV/atom are arrangement A 0; arrangement B 567.

Arrangement A

The following is a DFT calculation (PBE) of a relaxed K3AgCl4 crystal.

Output
magnetic moment = 0.000 μB per formula unit

Cell: 10.4844 8.6644 6.3306 Å, 90.00 90.00 90.00°
Last column: nearest neighbours and their distance in Å.
Space group Pmn2_1 (No. 31)
Symmetry-distinct sites (fractional):
K 0.0000 0.1421 0.0000 x2  5 Cl 2.97-3.19
K 0.2399 0.3290 0.5017 x4  5 Cl 2.95-3.21
Ag 0.0000 0.8145 0.4510 x2  4 Cl 2.67-2.70
Cl 0.0000 0.1235 0.5029 x2  1 Ag 2.70
Cl 0.0000 0.7998 0.0249 x2  1 Ag 2.70, 3 K 2.95-2.97
Cl 0.2303 0.6885 0.5052 x4  1 Ag 2.67

Arrangement B

The following is a DFT calculation (PBE) of a relaxed K3AgCl4 crystal.

Output
magnetic moment = 0.000 μB per formula unit

Cell: 8.9998 8.9998 11.0285 Å, 90.00 90.00 120.00°
Last column: nearest neighbours and their distance in Å.
Space group R3m (No. 160, hexagonal axes)
Symmetry-distinct sites (fractional):
K 0.0033 0.5017 0.0000 x9  6 Cl 3.15-3.23
Ag 0.0000 0.0000 0.9060 x3  3 Cl 2.55
Cl 0.0000 0.0000 0.5030 x3  6 K 3.18
Cl 0.0175 0.5088 0.5129 x9  1 Ag 2.55

Referenced to the most stable arrangement, the calculated values in meV/atom are arrangement A 30; arrangement B 0.

Arrangement A

The following is a DFT calculation (PBE) of a relaxed K2NdAgCl6 crystal.

Output
magnetic moment = 0.000 μB per formula unit

Cell: 10.8892 10.8892 10.8892 Å, 90.00 90.00 90.00°
Last column: nearest neighbours and their distance in Å.
Space group Fm-3m (No. 225)
Symmetry-distinct sites (fractional):
K 0.2500 0.2500 0.2500 x8  12 Cl 3.85
Nd 0.0000 0.0000 0.0000 x4  6 Cl 2.72
Ag 0.0000 0.0000 0.5000 x4  6 Cl 2.73
Cl 0.0000 0.0000 0.2496 x24  1 Nd 2.72, 1 Ag 2.73

Arrangement B

The following is a DFT calculation (PBE) of a relaxed K2NdAgCl6 crystal.

Output
magnetic moment = 0.000 μB per formula unit

Cell: 7.3839 7.7937 12.6656 Å, 90.00 124.62 90.00°
Last column: nearest neighbours and their distance in Å.
Space group P2_1/c (No. 14)
Symmetry-distinct sites (fractional):
K 0.2235 0.0739 0.2479 x4  6 Cl 3.19-3.41
Nd 0.5000 0.0000 0.0000 x2  6 Cl 2.74-2.75
Ag 0.0000 0.0000 0.5000 x2  6 Cl 2.72-2.86
Cl 0.1458 0.1925 0.9464 x4  1 Nd 2.74, 1 Ag 2.86
Cl 0.2566 0.7056 0.9456 x4  1 Nd 2.75, 1 Ag 2.85
Cl 0.3547 0.0328 0.7471 x4  1 Ag 2.72, 1 Nd 2.75

Referenced to the most stable arrangement, the calculated values in meV/atom are arrangement A 52; arrangement B 0.

Arrangement A

The following is a DFT calculation (PBE) of a relaxed KAgP2Cl crystal.

Output
magnetic moment = 5.000 μB per formula unit

Cell: 6.2862 6.2862 5.5531 Å, 90.00 90.00 90.00°
Last column: nearest neighbours and their distance in Å.
Space group P4/mmm (No. 123)
Symmetry-distinct sites (fractional):
K 0.0000 0.0000 0.0000 x1  2 Cl 2.78
Ag 0.5000 0.5000 0.5000 x1  8 P 4.19, 4 Cl 4.45
P 0.0000 0.5000 0.0000 x2  2 K 3.14
Cl 0.0000 0.0000 0.5000 x1  2 K 2.78

Arrangement B

The following is a DFT calculation (PBE) of a relaxed KAgP2Cl crystal.

Output
magnetic moment = 1.979 μB per formula unit

Cell: 4.7479 4.7479 6.4326 Å, 90.00 90.00 90.00°
Last column: nearest neighbours and their distance in Å.
Space group P4/mmm (No. 123)
Symmetry-distinct sites (fractional):
K 0.0000 0.0000 0.0000 x1  4 Cl 3.36
Ag 0.5000 0.5000 0.5000 x1  4 P 2.37
P 0.0000 0.5000 0.5000 x2  2 Ag 2.37
Cl 0.5000 0.5000 0.0000 x1  2 Ag 3.22, 4 K 3.36

Referenced to the most stable arrangement, the calculated values in meV/atom are arrangement A 994; arrangement B 0.